# YCuTeI2 | the Alexandria database | GGA-PBE | optimized geometry
# Magnetic moment   0.00 μB per atom
# V   211 Å³/cell
# E above lowest polymorph   0 meV per atom
data_YCuTeI2
_chemical_formula_sum 'Y1 Cu1 Te1 I2'
_symmetry_space_group_name_H-M 'P 1'
_symmetry_Int_Tables_number 1
_cell_length_a 5.916
_cell_length_b 5.916
_cell_length_c 6.041
_cell_angle_alpha 90.00
_cell_angle_beta 90.00
_cell_angle_gamma 90.00
loop_
_symmetry_equiv_pos_as_xyz
'x,y,z'
loop_
_atom_site_label
_atom_site_fract_x
_atom_site_fract_y
_atom_site_fract_z
I1 0.000 0.500 0.000
I2 0.500 0.000 0.000
Y1 0.000 0.000 0.000
Te1 0.000 0.000 0.500
Cu1 0.500 0.500 0.500

# YMg2Br | the Alexandria database | GGA-PBE | optimized geometry
# Magnetic moment   0.00 μB per atom
# V   116 Å³/cell
# E above lowest polymorph   585 meV per atom
data_YMg2Br
_chemical_formula_sum 'Y1 Mg2 Br1'
_symmetry_space_group_name_H-M 'P 1'
_symmetry_Int_Tables_number 1
_cell_length_a 5.476
_cell_length_b 5.476
_cell_length_c 5.476
_cell_angle_alpha 60.00
_cell_angle_beta 60.00
_cell_angle_gamma 60.00
loop_
_symmetry_equiv_pos_as_xyz
'x,y,z'
loop_
_atom_site_label
_atom_site_fract_x
_atom_site_fract_y
_atom_site_fract_z
Y1 0.500 0.500 0.500
Mg1 0.250 0.250 0.250
Mg2 0.750 0.750 0.750
Br1 0.000 0.000 0.000

# K2LiTmF6 | the Alexandria database | GGA-PBE | optimized geometry
# Magnetic moment   0.00 μB per atom
# V   303 Å³/cell
# Energy   -0.394 Ry per atom
data_K2LiTmF6
_chemical_formula_sum 'K4 Li2 Tm2 F12'
_symmetry_space_group_name_H-M 'P 1'
_symmetry_Int_Tables_number 1
_cell_length_a 5.988
_cell_length_b 5.976
_cell_length_c 8.468
_cell_angle_alpha 90.00
_cell_angle_beta 90.05
_cell_angle_gamma 90.00
loop_
_symmetry_equiv_pos_as_xyz
'x,y,z'
loop_
_atom_site_label
_atom_site_fract_x
_atom_site_fract_y
_atom_site_fract_z
K1 0.001 0.992 0.249
K2 0.501 0.508 0.749
K3 0.999 0.008 0.751
K4 0.499 0.492 0.251
Li1 0.500 0.000 0.500
Li2 0.000 0.500 0.000
Tm1 0.500 0.000 0.000
Tm2 0.000 0.500 0.500
F1 0.266 0.730 0.017
F2 0.766 0.770 0.517
F3 0.734 0.270 0.983
F4 0.234 0.230 0.483
F5 0.270 0.734 0.483
F6 0.770 0.766 0.983
F7 0.730 0.266 0.517
F8 0.230 0.234 0.017
F9 0.967 0.503 0.248
F10 0.467 0.997 0.748
F11 0.033 0.497 0.752
F12 0.533 0.003 0.252

# Sn6Bi2Ru | the Alexandria database | GGA-PBE | optimized geometry
# Magnetic moment   0.00 μB per atom
# V   245 Å³/cell
# ΔH_f (0 K)   -0.009 eV per atom
data_Sn6Bi2Ru
_chemical_formula_sum 'Sn6 Bi2 Ru1'
_symmetry_space_group_name_H-M 'P 1'
_symmetry_Int_Tables_number 1
_cell_length_a 4.161
_cell_length_b 8.246
_cell_length_c 8.236
_cell_angle_alpha 120.04
_cell_angle_beta 90.00
_cell_angle_gamma 90.00
loop_
_symmetry_equiv_pos_as_xyz
'x,y,z'
loop_
_atom_site_label
_atom_site_fract_x
_atom_site_fract_y
_atom_site_fract_z
Sn1 0.500 0.653 0.000
Sn2 0.500 0.348 0.348
Sn3 0.500 0.000 0.652
Sn4 0.000 0.231 0.000
Sn5 0.000 0.769 0.769
Sn6 0.000 0.000 0.231
Bi1 0.000 0.334 0.667
Bi2 0.000 0.666 0.333
Ru1 0.500 0.000 0.000

# Tb4AuSe3 | the Alexandria database | GGA-PBE | optimized geometry
# Magnetic moment   0.00 μB per atom
# V   201 Å³/cell
# E above lowest polymorph   23 meV per atom
data_Tb4AuSe3
_chemical_formula_sum 'Tb4 Au1 Se3'
_symmetry_space_group_name_H-M 'P 1'
_symmetry_Int_Tables_number 1
_cell_length_a 5.855
_cell_length_b 5.855
_cell_length_c 5.855
_cell_angle_alpha 90.00
_cell_angle_beta 90.00
_cell_angle_gamma 90.00
loop_
_symmetry_equiv_pos_as_xyz
'x,y,z'
loop_
_atom_site_label
_atom_site_fract_x
_atom_site_fract_y
_atom_site_fract_z
Tb1 0.500 0.000 0.000
Tb2 0.000 0.500 0.000
Tb3 0.000 0.000 0.500
Tb4 0.500 0.500 0.500
Au1 0.000 0.000 0.000
Se1 0.000 0.500 0.500
Se2 0.500 0.000 0.500
Se3 0.500 0.500 0.000

# MnMoS | the Alexandria database | GGA-PBE | optimized geometry
# Magnetic moment   0.15 μB per atom
# V   78 Å³/cell
# E above lowest polymorph   87 meV per atom
data_MnMoS
_chemical_formula_sum 'Mn2 Mo2 S2'
_symmetry_space_group_name_H-M 'P 1'
_symmetry_Int_Tables_number 1
_cell_length_a 3.033
_cell_length_b 5.272
_cell_length_c 5.388
_cell_angle_alpha 72.15
_cell_angle_beta 74.47
_cell_angle_gamma 79.13
loop_
_symmetry_equiv_pos_as_xyz
'x,y,z'
loop_
_atom_site_label
_atom_site_fract_x
_atom_site_fract_y
_atom_site_fract_z
Mo1 0.146 0.177 0.613
Mo2 0.854 0.823 0.387
Mn1 0.407 0.211 0.060
Mn2 0.593 0.789 0.940
S1 0.742 0.404 0.264
S2 0.258 0.596 0.736

- Look up the magnetic moment of the sixth one.
  0.15 μB per atom

What did the fourth record say?
# Sn6Bi2Ru | the Alexandria database | GGA-PBE | optimized geometry
# Magnetic moment   0.00 μB per atom
# V   245 Å³/cell
# ΔH_f (0 K)   -0.009 eV per atom
data_Sn6Bi2Ru
_chemical_formula_sum 'Sn6 Bi2 Ru1'
_symmetry_space_group_name_H-M 'P 1'
_symmetry_Int_Tables_number 1
_cell_length_a 4.161
_cell_length_b 8.246
_cell_length_c 8.236
_cell_angle_alpha 120.04
_cell_angle_beta 90.00
_cell_angle_gamma 90.00
loop_
_symmetry_equiv_pos_as_xyz
'x,y,z'
loop_
_atom_site_label
_atom_site_fract_x
_atom_site_fract_y
_atom_site_fract_z
Sn1 0.500 0.653 0.000
Sn2 0.500 0.348 0.348
Sn3 0.500 0.000 0.652
Sn4 0.000 0.231 0.000
Sn5 0.000 0.769 0.769
Sn6 0.000 0.000 0.231
Bi1 0.000 0.334 0.667
Bi2 0.000 0.666 0.333
Ru1 0.500 0.000 0.000

- Among the records above, which one has the highest V?
  K2LiTmF6